A plane-wave DFT calculation with PBE with a Hubbard U was carried out for crystalline Rb2MnOsO6 at its relaxed geometry.

```
data_Rb2MnOsO6
_chemical_formula_sum 'Rb2 Mn1 Os1 O6'
_cell_length_a 6.2288
_cell_length_b 6.2288
_cell_length_c 5.0742
_cell_angle_alpha 90.00
_cell_angle_beta 90.00
_cell_angle_gamma 120.00
_symmetry_space_group_name_H-M 'P -3 m 1'
_symmetry_Int_Tables_number 164
_symmetry_space_group_name_Hall '-P 3 2"'
loop_
_atom_site_label
_atom_site_type_symbol
_atom_site_fract_x
_atom_site_fract_y
_atom_site_fract_z
Rb1 Rb 0.3333 0.6667 0.2216
Mn1 Mn 0.0000 0.0000 0.0000
Os1 Os 0.0000 0.0000 0.5000
O1 O 0.1372 0.2744 0.7498
```

Total energy = -6.33 eV/atom
Total magnetic moment = 1.0 μB/cell
Mass density = 4.99 g cm⁻³
Crystal system = trigonal